Record 1
VASP calculation (PBE) on a relaxed structure of GaSi.

Cell lengths 4.030, 3.563, 5.298 Å; angles 90.00, 111.43, 90.00 degrees
Element x y z (fractional)
Ga  0.197  0.250  0.319
Ga  0.803  0.750  0.681
Si  0.341  0.250  0.845
Si  0.659  0.750  0.155

Summary:
**Spin magnetization**: 0.00 μB per formula unit
**E_form (uncorrected)**: 0.225 eV/atom



Record 2
VASP calculation (PBE) on a relaxed structure of GaSi.

Cell lengths 3.996, 3.996, 3.996 Å; angles 60.00, 60.00, 60.00 degrees
Element x y z (fractional)
Ga  0.000  0.000  0.000
Si  0.250  0.250  0.250

Summary:
**Spin magnetization**: 0.00 μB per formula unit
**E_form (uncorrected)**: 0.309 eV/atom



Record 3
VASP calculation (PBE) on a relaxed structure of GaSi.

Cell lengths 2.814, 3.618, 7.347 Å; angles 85.25, 89.65, 68.02 degrees
Element x y z (fractional)
Ga  0.124  0.256  0.360
Ga  0.876  0.744  0.640
Si  0.367  0.764  0.102
Si  0.633  0.236  0.898

Summary:
**Spin magnetization**: 0.00 μB per formula unit
**E_form (uncorrected)**: 0.192 eV/atom



Record 4
VASP calculation (PBE) on a relaxed structure of GaSi.

Cell lengths 10.899, 10.899, 4.024 Å; angles 90.00, 90.00, 90.00 degrees
Element x y z (fractional)
Ga  0.072  0.293  0.000
Ga  0.164  0.636  0.500
Ga  0.293  0.928  0.000
Ga  0.364  0.164  0.500
Ga  0.636  0.836  0.500
Ga  0.707  0.072  0.000
Ga  0.836  0.364  0.500
Ga  0.928  0.707  0.000
Si  0.084  0.427  0.500
Si  0.151  0.757  0.000
Si  0.243  0.151  0.000
Si  0.427  0.916  0.500
Si  0.573  0.084  0.500
Si  0.757  0.849  0.000
Si  0.849  0.243  0.000
Si  0.916  0.573  0.500

Summary:
**Spin magnetization**: 0.00 μB per formula unit
**E_form (uncorrected)**: 0.343 eV/atom